(1)
# Rb2MgTlF5

A relaxed structure of Rb2MgTlF5 (PBE, Alexandria via LeMat-Bulk).

## Properties
- crystal system = orthorhombic
- calculated total energy (eV per formula unit) = -40.1
- raw formation energy (kJ/mol of formula units) = -2399.6
- space-group type = Immm
- N(E_F) (states/eV per atom) = 0.000

Cell lengths 4.0777, 6.3623, 7.4994 Å; angles 115.10, 105.78, 90.00 degrees
With the nearest neighbours (Å) after each atom.
Atoms (fractional coordinates):
Rb 0.7821 0.7821 0.5642  7 F 2.80-2.84
Rb 0.2179 0.2179 0.4358  7 F 2.80-2.84
F 0.6131 0.3381 0.2262  1 Mg 2.05
F 0.0000 0.0000 0.0000  2 Mg 2.04
F 0.6131 0.8881 0.2262  1 Mg 2.05
F 0.3869 0.6619 0.7738  1 Mg 2.05
F 0.3869 0.1119 0.7738  1 Mg 2.05
Tl 0.0000 0.5000 0.0000  10 F 3.06-3.18
Mg 0.5000 0.0000 0.0000  6 F 2.04-2.05

---

(2)
# RbMgTlF4

A relaxed structure of RbMgTlF4 (PBE, Alexandria via LeMat-Bulk).

## Properties
- crystal system = tetragonal
- calculated total energy (eV per formula unit) = -32.2
- raw formation energy (kJ/mol of formula units) = -1907.4
- space-group type = I4mm
- N(E_F) (states/eV per atom) = 0.000

Cell lengths 4.1047, 4.1047, 7.6990 Å; angles 105.46, 105.46, 90.00 degrees
With the nearest neighbours (Å) after each atom.
Atoms (fractional coordinates):
F 0.1425 0.1425 0.2850  1 Mg 2.03
F 0.0019 0.5019 0.0037  2 Mg 2.05
F 0.5019 0.0019 0.0037  2 Mg 2.05
F 0.8600 0.8600 0.7200  1 Mg 2.00
Mg 0.0004 0.0004 0.0008  6 F 2.00-2.05
Rb 0.3479 0.3479 0.6959  9 F 2.91-3.01
Tl 0.6455 0.6455 0.2909  9 F 2.90-3.06

---

(3)
# RbMgTl2F6

A relaxed structure of RbMgTl2F6 (PBE, Alexandria via LeMat-Bulk).

## Properties
- crystal system = monoclinic
- calculated total energy (eV per formula unit) = -42.9
- raw formation energy (kJ/mol of formula units) = -2351.0
- space-group type = P2_1/c
- N(E_F) (states/eV per atom) = 0.475

Cell lengths 5.9792, 6.8198, 8.8299 Å; angles 90.00, 89.58, 90.00 degrees
With the nearest neighbours (Å) after each atom.
Atoms (fractional coordinates):
Rb 0.5000 0.0000 0.0000  4 F 2.72-2.96
Rb 0.0000 0.5000 0.5000  4 F 2.72-2.96
Tl 0.5068 0.5268 0.7722  6 F 2.52-2.62
Tl 0.4932 0.4732 0.2278  6 F 2.52-2.62
Tl 0.9932 0.0268 0.7278  6 F 2.52-2.62
Tl 0.0068 0.9732 0.2722  6 F 2.52-2.62
F 0.2936 0.6447 0.0140  1 Mg 2.02
F 0.1269 0.3711 0.8076  1 Mg 2.05
F 0.1519 0.2850 0.1291  1 Mg 2.07
F 0.3481 0.7850 0.3709  1 Mg 2.07
F 0.2064 0.1447 0.4860  1 Mg 2.02
F 0.8481 0.7150 0.8709  1 Mg 2.07
F 0.3731 0.8711 0.6924  1 Mg 2.05
F 0.7936 0.8553 0.5140  1 Mg 2.02
F 0.6269 0.1289 0.3076  1 Mg 2.05
F 0.7064 0.3553 0.9860  1 Mg 2.02
F 0.8731 0.6289 0.1924  1 Mg 2.05
F 0.6519 0.2150 0.6291  1 Mg 2.07
Mg 0.5000 0.0000 0.5000  6 F 2.02-2.07
Mg 0.0000 0.5000 0.0000  6 F 2.02-2.07